KHoTlO3 | PBE | optimized geometry

The calculation puts the formation energy without anion corrections at -1.997 eV per atom. Its symmetry is P2_1/m. The value obtained for the total energy is -5.8160 eV/atom. The calculated volume comes out at 129.7 Å³/f.u.

a b c (Å): 6.893 3.499 11.082
angles (deg): 90.00 104.00 90.00
Fractional positions:
K (0.043, 0.250, 0.331)
K (0.957, 0.750, 0.669)
Ho (0.464, 0.250, 0.623)
Ho (0.536, 0.750, 0.377)
Tl (0.440, 0.750, 0.881)
Tl (0.560, 0.250, 0.119)
O (0.265, 0.250, 0.772)
O (0.319, 0.750, 0.500)
O (0.381, 0.250, 0.259)
O (0.619, 0.750, 0.741)
O (0.681, 0.250, 0.500)
O (0.735, 0.750, 0.228)



Sm8Ho2Tm | PBE | optimized geometry

The calculation puts the energy above the most stable polymorph in this dataset at 0.000 eV per atom. Its symmetry is C2/m. The formation enthalpy at 0 K comes out at 0.17 eV per atom. The value obtained for the total energy is -4.5026 eV/atom. The calculated volume comes out at 376.7 Å³/f.u.

a b c (Å): 8.463 8.463 5.442
angles (deg): 90.07 90.07 104.86
Fractional positions:
Sm (0.165, 0.165, 0.000)
Sm (0.201, 0.470, 0.499)
Sm (0.248, 0.752, 0.000)
Sm (0.470, 0.201, 0.499)
Sm (0.530, 0.799, 0.501)
Sm (0.752, 0.248, 0.000)
Sm (0.799, 0.530, 0.501)
Sm (0.835, 0.835, 0.000)
Ho (0.120, 0.880, 0.500)
Ho (0.880, 0.120, 0.500)
Tm (0.500, 0.500, 0.000)



Cs2LiCo | PBE | optimized geometry

Its symmetry is I-42d. The formation enthalpy at 0 K comes out at 1.18 eV per atom. The value obtained for the total energy is -1.5049 eV/atom. The calculated volume comes out at 240.7 Å³/f.u.

a b c (Å): 8.805 8.805 8.805
angles (deg): 120.17 120.17 89.70
Fractional positions:
Cs (0.375, 0.136, 0.261)
Cs (0.864, 0.125, 0.239)
Cs (0.875, 0.114, 0.739)
Cs (0.886, 0.625, 0.761)
Li (0.250, 0.750, 0.500)
Li (0.500, 0.500, 0.000)
Co (0.000, 0.000, 0.000)
Co (0.750, 0.250, 0.500)



Tb4HSe2 | PBE | optimized geometry

Its symmetry is I4/mmm. The value obtained for the total energy is -5.0108 eV/atom. The calculated volume comes out at 149.1 Å³/f.u.

a b c (Å): 8.696 8.696 8.696
angles (deg): 151.53 151.53 40.70
Fractional positions:
Tb (0.000, 0.500, 0.500)
Tb (0.182, 0.182, 0.000)
Tb (0.500, 0.000, 0.500)
Tb (0.818, 0.818, 0.000)
H (0.000, 0.000, 0.000)
Se (0.366, 0.366, 0.000)
Se (0.634, 0.634, 0.000)



MgMnTe2 | PBE | optimized geometry

The calculation puts the formation energy without anion corrections at 0.090 eV per atom. Its symmetry is R-3m. The value obtained for the total energy is -4.1717 eV/atom. The calculated volume comes out at 102.0 Å³/f.u.

a b c (Å): 9.124 9.124 9.124
angles (deg): 23.03 23.03 23.03
Fractional positions:
Mg (0.000, 0.000, 0.000)
Mn (0.500, 0.500, 0.500)
Te (0.110, 0.110, 0.110)
Te (0.890, 0.890, 0.890)



Ce3SiCl | PBE | optimized geometry

The calculation puts the formation energy without anion corrections at -0.718 eV per atom. Its symmetry is C2/c. The value obtained for the total energy is -5.7324 eV/atom. The calculated volume comes out at 128.1 Å³/f.u.

a b c (Å): 8.065 8.065 7.886
angles (deg): 91.05 91.05 92.59
Fractional positions:
Ce (0.044, 0.838, 0.955)
Ce (0.061, 0.428, 0.693)
Ce (0.162, 0.956, 0.545)
Ce (0.303, 0.456, 0.072)
Ce (0.428, 0.061, 0.193)
Ce (0.456, 0.303, 0.572)
Ce (0.544, 0.697, 0.428)
Ce (0.572, 0.939, 0.807)
Ce (0.697, 0.544, 0.928)
Ce (0.838, 0.044, 0.455)
Ce (0.939, 0.572, 0.307)
Ce (0.956, 0.162, 0.045)
Si (0.146, 0.266, 0.359)
Si (0.266, 0.146, 0.859)
Si (0.734, 0.854, 0.141)
Si (0.854, 0.734, 0.641)
Cl (0.241, 0.759, 0.250)
Cl (0.379, 0.621, 0.750)
Cl (0.621, 0.379, 0.250)
Cl (0.759, 0.241, 0.750)



no.,magnetization (Bohr magnetons per cell)
1,0.00
2,0.00
3,1.28
4,0.00
5,0.00
6,12.04